[1]
Entry from Alexandria via LeMat-Bulk: crystalline Li2Pt2Pb at its relaxed geometry (PBE).

Results
Fermi-level density of states = 0.171 states/eV/atom
total moment = 0.000 μB per atom
formation enthalpy at 0 K = -0.194 eV per atom
crystal system = tetragonal

Cell lengths 3.8771, 3.8771, 12.1977 Å; angles 90.00, 90.00, 90.00 degrees
With the nearest neighbours (Å) after each atom.
Space group I4/mmm (No. 139)
Inequivalent atoms, fractional coordinates:
1 Li 0.0000 0.5000 0.2500 [4 per cell]  4 Pt 2.59, 4 Li 2.74
2 Pt 0.0000 0.0000 0.1093 [4 per cell]  4 Li 2.59, 1 Pt 2.67
3 Pb 0.0000 0.0000 0.5000 [2 per cell]  8 Pt 3.05


[2]
Entry from Alexandria via LeMat-Bulk: crystalline Li2PtPb at its relaxed geometry (PBE).

Results
Fermi-level density of states = 0.464 states/eV/atom
total moment = 0.000 μB per atom
formation enthalpy at 0 K = -0.219 eV per atom
crystal system = trigonal

Cell lengths 3.1303, 3.1303, 26.2936 Å; angles 90.00, 90.00, 120.00 degrees
With the nearest neighbours (Å) after each atom.
Space group R-3m (No. 166, hexagonal axes)
Inequivalent atoms, fractional coordinates:
1 Li 0.0000 0.0000 0.2381 [6 per cell]  3 Pt 2.61
2 Pt 0.0000 0.0000 0.5000 [3 per cell]  6 Li 2.61
3 Pb 0.0000 0.0000 0.0000 [3 per cell]  6 Li 3.09, 6 Pb 3.13


[3]
Entry from Alexandria via LeMat-Bulk: crystalline LiPtPb2 at its relaxed geometry (PBE).

Results
Fermi-level density of states = 0.625 states/eV/atom
total moment = 0.000 μB per atom
formation enthalpy at 0 K = -0.184 eV per atom
crystal system = monoclinic

Cell lengths 8.8899, 3.6566, 5.7805 Å; angles 90.00, 102.12, 90.00 degrees
With the nearest neighbours (Å) after each atom.
Space group Cm (No. 8)
Inequivalent atoms, fractional coordinates:
1 Li 0.0000 0.0000 0.0000 [2 per cell]  3 Pt 2.71-2.72, 3 Pb 2.77-2.93
2 Pt 0.2264 0.5000 0.1387 [2 per cell]  3 Li 2.71-2.72, 5 Pb 2.87-2.98
3 Pb 0.2388 0.0000 0.7604 [2 per cell]  3 Li 2.77-3.05, 2 Pt 2.87
4 Pb 0.4617 0.0000 0.3800 [2 per cell]  3 Pt 2.90-2.98, 2 Li 2.93


> What is the formation enthalpy at 0 K in the third record?

-0.184 eV per atom


Please write out number 1 again, unchanged.
Entry from Alexandria via LeMat-Bulk: crystalline Li2Pt2Pb at its relaxed geometry (PBE).

Results
Fermi-level density of states = 0.171 states/eV/atom
total moment = 0.000 μB per atom
formation enthalpy at 0 K = -0.194 eV per atom
crystal system = tetragonal

Cell lengths 3.8771, 3.8771, 12.1977 Å; angles 90.00, 90.00, 90.00 degrees
With the nearest neighbours (Å) after each atom.
Space group I4/mmm (No. 139)
Inequivalent atoms, fractional coordinates:
1 Li 0.0000 0.5000 0.2500 [4 per cell]  4 Pt 2.59, 4 Li 2.74
2 Pt 0.0000 0.0000 0.1093 [4 per cell]  4 Li 2.59, 1 Pt 2.67
3 Pb 0.0000 0.0000 0.5000 [2 per cell]  8 Pt 3.05


> Among the records above, which one has the lowest formation enthalpy at 0 K?

Li2PtPb